# Sc2CdCo

A relaxed structure of Sc2CdCo (PBE, Alexandria).

Geometry as CIF:
```
data_Sc2CdCo
_chemical_formula_sum 'Sc6 Cd3 Co3'
_symmetry_space_group_name_H-M 'R 3 m'
_symmetry_Int_Tables_number 160
_symmetry_space_group_name_Hall 'R 3 -2"'
_cell_length_a 3.1752
_cell_length_b 3.1752
_cell_length_c 27.5331
_cell_angle_alpha 90.00
_cell_angle_beta 90.00
_cell_angle_gamma 120.00
loop_
_atom_site_label
_atom_site_fract_x
_atom_site_fract_y
_atom_site_fract_z
_atom_site_occupancy
Sc1 0.0000 0.0000 0.0000 1
Sc2 0.0000 0.0000 0.2326 1
Cd1 0.0000 0.0000 0.7595 1
Co1 0.0000 0.0000 0.5006 1
```

Calculated values
The calculation puts the density at 5.41 g/cm3. For the total energy, the calculation gives -5.048 eV/atom. The value obtained for the magnetic moment is 4.1 μB/cell. The formation energy from the elements is 0.1226 eV per atom.